! KTa2Fe PBE optimized geometry; values from VASP
&SYSTEM
  ibrav = 0, nat = 4, ntyp = 3
/
ATOMIC_SPECIES
K 39.10 K.upf
Ta 180.95 Ta.upf
Fe 55.84 Fe.upf
CELL_PARAMETERS angstrom
-1.5635 1.9091 8.5244
1.5635 -1.9091 8.5244
1.5635 1.9091 -8.5244
ATOMIC_POSITIONS crystal
K 0.0000 0.0000 0.0000
Ta 0.3139 0.8139 0.5000
Ta 0.6905 0.6905 0.0000
Fe 0.7971 0.2971 0.5000
! energy above the most stable polymorph in this dataset	176	meV/atom
! calculated total energy	-7.508	eV/atom
! energy relative to the elements	0.8082	eV per atom

***

! K2TaFe PBE optimized geometry; values from VASP
&SYSTEM
  ibrav = 0, nat = 4, ntyp = 3
/
ATOMIC_SPECIES
K 39.10 K.upf
Ta 180.95 Ta.upf
Fe 55.84 Fe.upf
CELL_PARAMETERS angstrom
0.0000 3.7667 3.7667
3.7667 0.0000 3.7667
3.7667 3.7667 0.0000
ATOMIC_POSITIONS crystal
K 0.2500 0.2500 0.2500
K 0.7500 0.7500 0.7500
Ta 0.0000 0.0000 0.0000
Fe 0.5000 0.5000 0.5000
! energy above the most stable polymorph in this dataset	1878	meV/atom
! calculated total energy	-3.049	eV/atom
! energy relative to the elements	2.5784	eV per atom

***

! K4TaFe PBE optimized geometry; values from VASP
&SYSTEM
  ibrav = 0, nat = 6, ntyp = 3
/
ATOMIC_SPECIES
K 39.10 K.upf
Ta 180.95 Ta.upf
Fe 55.84 Fe.upf
CELL_PARAMETERS angstrom
0.0000 4.9290 4.9290
4.9290 0.0000 4.9290
4.9290 4.9290 0.0000
ATOMIC_POSITIONS crystal
K 0.1249 0.1249 0.1249
K 0.1249 0.1249 0.6253
K 0.1249 0.6253 0.1249
K 0.6253 0.1249 0.1249
Ta 0.7500 0.7500 0.7500
Fe 0.5000 0.5000 0.5000
! calculated total energy	-2.440	eV/atom
! energy relative to the elements	1.6777	eV per atom

***

! KTaFe2 PBE optimized geometry; values from VASP
&SYSTEM
  ibrav = 0, nat = 8, ntyp = 3
/
ATOMIC_SPECIES
K 39.10 K.upf
Ta 180.95 Ta.upf
Fe 55.84 Fe.upf
CELL_PARAMETERS angstrom
-2.3755 2.3755 8.2089
2.3755 -2.3755 8.2089
2.3755 2.3755 -8.2089
ATOMIC_POSITIONS crystal
K 0.3750 0.6250 0.7500
K 0.6250 0.3750 0.2500
Ta 0.1250 0.8750 0.2500
Ta 0.8750 0.1250 0.7500
Fe 0.0000 0.0000 0.0000
Fe 0.0000 0.0000 0.5000
Fe 0.0000 0.5000 0.0000
Fe 0.5000 0.0000 0.5000
! energy above the most stable polymorph in this dataset	1018	meV/atom
! calculated total energy	-5.917	eV/atom
! energy relative to the elements	1.5519	eV per atom

***

! K2TaFe PBE optimized geometry; values from VASP
&SYSTEM
  ibrav = 0, nat = 4, ntyp = 3
/
ATOMIC_SPECIES
K 39.10 K.upf
Ta 180.95 Ta.upf
Fe 55.84 Fe.upf
CELL_PARAMETERS angstrom
1.4869 0.8585 12.3697
-1.4869 0.8585 12.3697
0.0000 -1.7170 12.3697
ATOMIC_POSITIONS crystal
K 0.2460 0.2460 0.2460
K 0.7540 0.7540 0.7540
Ta 0.0000 0.0000 0.0000
Fe 0.5000 0.5000 0.5000
! energy above the most stable polymorph in this dataset	646	meV/atom
! calculated total energy	-4.281	eV/atom
! energy relative to the elements	1.3462	eV per atom

***

! K2TaFe PBE optimized geometry; values from VASP
&SYSTEM
  ibrav = 0, nat = 4, ntyp = 3
/
ATOMIC_SPECIES
K 39.10 K.upf
Ta 180.95 Ta.upf
Fe 55.84 Fe.upf
CELL_PARAMETERS angstrom
-1.5588 1.9053 10.5327
1.5588 -1.9053 10.5327
1.5588 1.9053 -10.5327
ATOMIC_POSITIONS crystal
K 0.1488 0.1488 0.0000
K 0.8512 0.8512 0.0000
Ta 0.5000 0.0000 0.5000
Fe 0.0000 0.5000 0.5000
! energy above the most stable polymorph in this dataset	47	meV/atom
! calculated total energy	-4.880	eV/atom
! energy relative to the elements	0.7474	eV per atom

***

What did the first record say?
! KTa2Fe PBE optimized geometry; values from VASP
&SYSTEM
  ibrav = 0, nat = 4, ntyp = 3
/
ATOMIC_SPECIES
K 39.10 K.upf
Ta 180.95 Ta.upf
Fe 55.84 Fe.upf
CELL_PARAMETERS angstrom
-1.5635 1.9091 8.5244
1.5635 -1.9091 8.5244
1.5635 1.9091 -8.5244
ATOMIC_POSITIONS crystal
K 0.0000 0.0000 0.0000
Ta 0.3139 0.8139 0.5000
Ta 0.6905 0.6905 0.0000
Fe 0.7971 0.2971 0.5000
! energy above the most stable polymorph in this dataset	176	meV/atom
! calculated total energy	-7.508	eV/atom
! energy relative to the elements	0.8082	eV per atom

***

Q: The highest calculated total energy belongs to which entry?
A: K4TaFe

***

Q: What is the formula in the fourth record?
A: KTaFe2

***

Q: The highest energy relative to the elements belongs to which entry?
A: number 2